Material: MoOs2
Method: DFT, GGA-PBE
State: optimized geometry

Values from the calculation:
The value obtained for the energy above the lowest structure with this stoichiometry is 495 meV per atom. The raw total energy is -31.86 eV for the cell shown. The calculation puts the formation energy at 1.43 eV/f.u. Its mass density is 17395 kg/m3. Its total magnetization is 0.00 μB/cell.

a = 3.259 Å, b = 4.862 Å, c = 3.259 Å
α = 70.41°, β = 90.00°, γ = 109.59°
Positions (direct):
Mo1 0.000 0.000 0.000
Os1 0.338 0.675 0.662
Os2 0.662 0.325 0.338